(1)
! GaPd8Pt6 | Alexandria via LeMat-Bulk | PBE | optimized geometry; values from VASP
&SYSTEM
  ibrav = 0, nat = 15, ntyp = 3
/
ATOMIC_SPECIES
Ga 69.72 Ga.upf
Pd 106.42 Pd.upf
Pt 195.08 Pt.upf
ATOMIC_POSITIONS angstrom
Ga 0.0000 0.0000 0.0000
Pd -1.3428 -2.1046 7.4245
Pd -2.4940 0.1106 8.8109
Pd 0.0000 0.0000 5.0053
Pd -1.1512 2.2152 7.4245
Pd 1.1512 -2.2152 8.8109
Pd 0.0000 0.0000 11.2301
Pd 2.4940 -0.1106 7.4245
Pd 1.3428 2.1046 8.8109
Pt -2.4120 0.1370 6.1652
Pt -1.3247 -2.0204 10.0702
Pt 1.0874 -2.1574 6.1652
Pt -1.0874 2.1574 10.0703
Pt 1.3247 2.0204 6.1652
Pt 2.4120 -0.1370 10.0703
CELL_PARAMETERS angstrom
3.7206 2.1481 5.4118
-3.7206 2.1481 5.4118
0.0000 -4.2961 5.4118
! Energy relative to the lowest polymorph listed for this composition = 1.44 eV/f.u.
! Energy of formation = 0.09 eV per atom


(2)
! ReGeSCl2 | Alexandria via LeMat-Bulk | PBE | optimized geometry; values from VASP
&SYSTEM
  ibrav = 0, nat = 5, ntyp = 4
/
ATOMIC_SPECIES
Re 186.21 Re.upf
Ge 72.64 Ge.upf
S 32.06 S.upf
Cl 35.45 Cl.upf
ATOMIC_POSITIONS angstrom
Re 0.0000 0.0000 0.0000
Ge 2.4675 2.4675 2.5017
S 2.4675 2.4675 0.0000
Cl 0.0000 2.4675 2.5017
Cl 2.4675 0.0000 2.5017
CELL_PARAMETERS angstrom
4.9350 0.0000 0.0000
0.0000 4.9350 0.0000
0.0000 0.0000 5.0034
! Energy relative to the lowest polymorph listed for this composition = 2.61 eV/f.u.


(3)
DFT (PBE) results for an optimized crystal structure of KYPbI6. Values from VASP.

Cell and atoms, written as Quantum ESPRESSO input:
```
&SYSTEM
  ibrav = 0, nat = 18, ntyp = 4
/
ATOMIC_SPECIES
K 39.10 K.upf
Y 88.91 Y.upf
Pb 207.20 Pb.upf
I 126.90 I.upf
ATOMIC_POSITIONS angstrom
K 0.0000 0.0000 0.0000
K 0.0000 0.0000 7.7416
Y 0.0000 4.6840 3.8708
Y 4.0565 2.3420 11.6124
Pb 0.0000 4.6840 11.6124
Pb 4.0565 2.3420 3.8708
I -1.3656 2.6284 2.0770
I -2.4630 4.5291 5.6646
I 1.3656 2.6284 5.6646
I -1.0974 6.8945 2.0770
I 2.9591 0.1315 9.8186
I 1.5934 2.4969 13.4061
I 2.4630 4.5291 2.0770
I 1.0974 6.8945 5.6646
I 5.1538 0.1315 13.4061
I 2.6908 4.3976 9.8186
I 6.5195 2.4969 9.8186
I 5.4221 4.3976 13.4061
CELL_PARAMETERS angstrom
8.1129 0.0000 0.0000
-4.0565 7.0260 0.0000
0.0000 0.0000 15.4831
```


(4)
! Sm4Ho3Bi4 | Alexandria via LeMat-Bulk | PBE | optimized geometry; values from VASP
&SYSTEM
  ibrav = 0, nat = 11, ntyp = 3
/
ATOMIC_SPECIES
Sm 150.36 Sm.upf
Ho 164.93 Ho.upf
Bi 208.98 Bi.upf
ATOMIC_POSITIONS angstrom
Sm 2.0325 -3.0034 6.0689
Sm 0.0000 1.6663 3.0191
Sm 2.0325 3.0034 6.0689
Sm 0.0000 7.6730 3.0191
Ho 2.0325 0.0000 0.0000
Ho 0.0000 0.0000 7.3074
Ho 0.0000 0.0000 10.8687
Bi 2.0325 0.0000 4.9106
Bi 0.0000 2.7317 0.0000
Bi 0.0000 6.6077 0.0000
Bi 0.0000 4.6697 4.1775
CELL_PARAMETERS angstrom
-2.0325 4.6697 9.0880
2.0325 -4.6697 9.0880
2.0325 4.6697 -9.0880
! Energy of formation = -0.54 eV per atom


(5)
! BaSr2Pd2 | Alexandria via LeMat-Bulk | PBE | optimized geometry; values from VASP
&SYSTEM
  ibrav = 0, nat = 10, ntyp = 3
/
ATOMIC_SPECIES
Ba 137.33 Ba.upf
Sr 87.62 Sr.upf
Pd 106.42 Pd.upf
ATOMIC_POSITIONS angstrom
Ba 0.0000 0.0000 0.0000
Ba 4.5594 4.5594 0.0000
Sr 1.2359 3.3234 0.0000
Sr 3.3234 7.8828 0.0000
Sr 5.7953 1.2359 0.0000
Sr 7.8828 5.7953 0.0000
Pd 1.4853 6.0447 1.8071
Pd 3.0740 1.4853 1.8071
Pd 6.0447 7.6334 1.8071
Pd 7.6334 3.0740 1.8071
CELL_PARAMETERS angstrom
9.1187 0.0000 0.0000
0.0000 9.1187 0.0000
0.0000 0.0000 3.6141
! Energy relative to the lowest polymorph listed for this composition = 0.90 eV/f.u.
! Energy of formation = -0.31 eV per atom


(6)
! AlTl2Ni | Alexandria via LeMat-Bulk | PBE | optimized geometry; values from VASP
&SYSTEM
  ibrav = 0, nat = 8, ntyp = 3
/
ATOMIC_SPECIES
Al 26.98 Al.upf
Tl 204.38 Tl.upf
Ni 58.69 Ni.upf
ATOMIC_POSITIONS angstrom
Al 0.0000 0.0000 0.0000
Al 2.1198 2.1198 4.5833
Tl 0.0000 0.0000 4.5833
Tl 0.0000 2.1198 2.2917
Tl 2.1198 0.0000 6.8750
Tl 2.1198 2.1198 0.0000
Ni 0.0000 2.1198 6.8750
Ni 2.1198 0.0000 2.2917
CELL_PARAMETERS angstrom
4.2396 0.0000 0.0000
0.0000 4.2396 0.0000
0.0000 0.0000 9.1666
! Energy relative to the lowest polymorph listed for this composition = 1.58 eV/f.u.
! Energy of formation = 0.42 eV per atom


(7)
DFT (PBE) results for an optimized crystal structure of SmOF. Values from VASP.

Cell and atoms, written as Quantum ESPRESSO input:
```
&SYSTEM
  ibrav = 0, nat = 3, ntyp = 3
/
ATOMIC_SPECIES
Sm 150.36 Sm.upf
O 16.00 O.upf
F 19.00 F.upf
ATOMIC_POSITIONS angstrom
Sm 0.0000 0.0000 0.0000
O 0.0000 2.1190 4.1749
F 1.8351 1.0595 1.2354
CELL_PARAMETERS angstrom
3.6702 0.0000 0.0000
-1.8351 3.1785 0.0000
0.0000 0.0000 4.9215
```


(8)
! LiAl5Cu | Alexandria via LeMat-Bulk | PBE | optimized geometry; values from VASP
&SYSTEM
  ibrav = 0, nat = 7, ntyp = 3
/
ATOMIC_SPECIES
Li 6.94 Li.upf
Al 26.98 Al.upf
Cu 63.55 Cu.upf
ATOMIC_POSITIONS angstrom
Li 0.0000 0.0000 0.0000
Al 0.0000 2.0958 1.8477
Al 0.0000 2.0958 4.6566
Al 2.0958 0.0000 1.8477
Al 2.0958 0.0000 4.6566
Al 2.0958 2.0958 0.0000
Cu 0.0000 0.0000 3.2521
CELL_PARAMETERS angstrom
4.1917 0.0000 0.0000
0.0000 4.1917 0.0000
0.0000 0.0000 6.5043
! Energy relative to the lowest polymorph listed for this composition = 0.00 eV/f.u.
! Energy of formation = -0.10 eV per atom


(9)
! Os2RuCl | Alexandria via LeMat-Bulk | PBE | optimized geometry; values from VASP
&SYSTEM
  ibrav = 0, nat = 8, ntyp = 3
/
ATOMIC_SPECIES
Os 190.23 Os.upf
Ru 101.07 Ru.upf
Cl 35.45 Cl.upf
ATOMIC_POSITIONS angstrom
Os 0.0000 0.0000 2.2232
Os 0.0000 0.0000 6.8050
Os 1.3695 2.4549 2.2232
Os 1.3695 2.4549 6.8050
Ru 0.0000 2.4549 0.0000
Ru 1.3695 0.0000 0.0000
Cl 0.0000 2.4549 4.5141
Cl 1.3695 0.0000 4.5141
CELL_PARAMETERS angstrom
2.7390 0.0000 0.0000
0.0000 4.9098 0.0000
0.0000 0.0000 9.0282
! Energy relative to the lowest polymorph listed for this composition = 1.69 eV/f.u.


(10)
! Pa5Be2Ge5 | Alexandria via LeMat-Bulk | PBE | optimized geometry; values from VASP
&SYSTEM
  ibrav = 0, nat = 12, ntyp = 3
/
ATOMIC_SPECIES
Pa 231.04 Pa.upf
Be 9.01 Be.upf
Ge 72.64 Ge.upf
ATOMIC_POSITIONS angstrom
Pa 0.0000 0.0000 0.0000
Pa 1.8394 0.0000 3.5567
Pa 4.1767 0.0000 1.6205
Pa 3.9713 0.0000 7.0183
Pa 6.3086 0.0000 5.0821
Be 0.9432 0.0000 6.3767
Be 7.2048 0.0000 2.2620
Ge -3.1485 0.0000 4.3194
Ge -1.0238 0.0000 2.7413
Ge -1.0561 0.0000 7.4858
Ge 9.2041 0.0000 1.1530
Ge 9.1718 0.0000 5.8974
CELL_PARAMETERS angstrom
7.2225 -1.9451 0.0000
7.2225 1.9451 0.0000
-6.2971 0.0000 8.6387
! Energy of formation = -0.38 eV per atom


(11)
! RbBaSnHg | Alexandria via LeMat-Bulk | PBE | optimized geometry; values from VASP
&SYSTEM
  ibrav = 0, nat = 16, ntyp = 4
/
ATOMIC_SPECIES
Rb 85.47 Rb.upf
Ba 137.33 Ba.upf
Sn 118.71 Sn.upf
Hg 200.59 Hg.upf
ATOMIC_POSITIONS angstrom
Rb 0.0000 0.0000 0.0000
Rb 0.0000 4.2793 4.2793
Rb 4.2793 0.0000 4.2793
Rb 4.2793 4.2793 0.0000
Ba 0.0000 0.0000 4.2793
Ba 0.0000 4.2793 0.0000
Ba 4.2793 0.0000 0.0000
Ba 4.2793 4.2793 4.2793
Sn 2.1397 2.1397 6.4190
Sn 2.1397 6.4190 2.1397
Sn 6.4190 2.1397 2.1397
Sn 6.4190 6.4190 6.4190
Hg 2.1397 2.1397 2.1397
Hg 2.1397 6.4190 6.4190
Hg 6.4190 2.1397 6.4190
Hg 6.4190 6.4190 2.1397
CELL_PARAMETERS angstrom
8.5586 0.0000 0.0000
0.0000 8.5586 0.0000
0.0000 0.0000 8.5586
! Energy of formation = -0.30 eV per atom


(12)
! LaDyPuSc | Alexandria via LeMat-Bulk | PBE | optimized geometry; values from VASP
&SYSTEM
  ibrav = 0, nat = 16, ntyp = 4
/
ATOMIC_SPECIES
La 138.91 La.upf
Dy 162.50 Dy.upf
Pu 244.00 Pu.upf
Sc 44.96 Sc.upf
ATOMIC_POSITIONS angstrom
La 0.0000 0.0000 0.0000
La 0.0000 3.9080 3.9080
La 3.9080 0.0000 3.9080
La 3.9080 3.9080 0.0000
Dy 0.0000 0.0000 3.9080
Dy 0.0000 3.9080 0.0000
Dy 3.9080 0.0000 0.0000
Dy 3.9080 3.9080 3.9080
Pu 1.9540 1.9540 5.8620
Pu 1.9540 5.8620 1.9540
Pu 5.8620 1.9540 1.9540
Pu 5.8620 5.8620 5.8620
Sc 1.9540 1.9540 1.9540
Sc 1.9540 5.8620 5.8620
Sc 5.8620 1.9540 5.8620
Sc 5.8620 5.8620 1.9540
CELL_PARAMETERS angstrom
7.8160 0.0000 0.0000
0.0000 7.8160 0.0000
0.0000 0.0000 7.8160
! Energy of formation = 0.20 eV per atom


| no. | calculated total energy (eV for the cell shown) |
| --- | --- |
| 1 | -79.49 |
| 2 | -20.30 |
| 3 | -62.28 |
| 4 | -54.11 |
| 5 | -34.45 |
| 6 | -25.13 |
| 7 | -22.15 |
| 8 | -25.42 |
| 9 | -59.73 |
| 10 | -82.62 |
| 11 | -33.54 |
| 12 | -117.58 |